No. 1
Entry from the Alexandria database: crystalline DyTm3Rh2 at its relaxed geometry (GGA-PBE).

Geometry as POSCAR:
```
DyTm3Rh2
1.0
-3.318 6.723 3.490
3.318 -6.723 3.490
3.318 6.723 -3.490
Dy Tm Rh
2 6 4
direct
0.000 0.000 0.000
0.500 0.500 0.000
0.017 0.250 0.767
0.250 0.750 0.500
0.483 0.250 0.233
0.517 0.750 0.767
0.750 0.250 0.500
0.983 0.750 0.233
0.139 0.710 0.849
0.361 0.210 0.571
0.639 0.790 0.429
0.861 0.290 0.151
```

Fermi-level density of states = 4.76 states/eV/f.u.
Final energy = -6.0623 eV per atom
Calculated formation energy = -0.6090 eV/atom

No. 2
Entry from the Alexandria database: crystalline Dy3TmRh3 at its relaxed geometry (GGA-PBE).

Geometry as POSCAR:
```
Dy3TmRh3
1.0
4.832 -4.921 0.000
4.832 4.921 0.000
0.000 0.000 6.680
Dy Tm Rh
6 2 6
direct
0.245 0.245 0.000
0.247 0.753 0.000
0.256 0.256 0.500
0.744 0.744 0.500
0.753 0.247 0.000
0.755 0.755 0.000
0.235 0.765 0.500
0.765 0.235 0.500
0.000 0.000 0.250
0.000 0.000 0.750
0.000 0.500 0.253
0.000 0.500 0.747
0.500 0.000 0.253
0.500 0.000 0.747
```

Fermi-level density of states = 3.16 states/eV/f.u.
Final energy = -6.5030 eV per atom
Calculated formation energy = -0.7413 eV/atom

No. 3
Entry from the Alexandria database: crystalline Dy2Tm2Rh at its relaxed geometry (GGA-PBE).

Geometry as POSCAR:
```
Dy2Tm2Rh
1.0
3.677 -5.802 0.000
3.677 5.802 0.000
-3.196 0.000 6.608
Dy Tm Rh
4 4 2
direct
0.235 0.235 0.404
0.256 0.256 0.898
0.744 0.744 0.102
0.765 0.765 0.596
0.232 0.675 0.248
0.325 0.768 0.752
0.675 0.232 0.248
0.768 0.325 0.752
0.128 0.872 0.000
0.872 0.128 0.000
```

Fermi-level density of states = 5.92 states/eV/f.u.
Final energy = -5.4299 eV per atom
Calculated formation energy = -0.3301 eV/atom

No. 4
Entry from the Alexandria database: crystalline DyTm2Rh2 at its relaxed geometry (GGA-PBE).

Geometry as POSCAR:
```
DyTm2Rh2
1.0
4.741 0.000 0.000
-2.371 4.106 0.000
0.000 0.000 5.942
Dy Tm Rh
1 2 2
direct
0.000 0.000 0.000
0.333 0.667 0.664
0.667 0.333 0.336
0.333 0.667 0.169
0.667 0.333 0.831
```

Fermi-level density of states = 3.30 states/eV/f.u.
Final energy = -6.4164 eV per atom
Calculated formation energy = -0.7668 eV/atom

No. 5
Entry from the Alexandria database: crystalline Dy4Tm3Rh4 at its relaxed geometry (GGA-PBE).

Geometry as POSCAR:
```
Dy4Tm3Rh4
1.0
-1.810 4.450 7.964
1.810 -4.450 7.964
1.810 4.450 -7.964
Dy Tm Rh
4 3 4
direct
0.022 0.836 0.187
0.351 0.164 0.187
0.649 0.836 0.813
0.978 0.164 0.813
0.000 0.500 0.500
0.399 0.399 0.000
0.601 0.601 0.000
0.255 0.755 0.500
0.286 0.000 0.286
0.714 0.000 0.714
0.745 0.245 0.500
```

Fermi-level density of states = 7.02 states/eV/f.u.
Final energy = -6.2211 eV per atom
Calculated formation energy = -0.6549 eV/atom

No. 6
Entry from the Alexandria database: crystalline DyTm2Rh3 at its relaxed geometry (GGA-PBE).

Geometry as POSCAR:
```
DyTm2Rh3
1.0
3.395 0.000 0.000
0.000 3.395 0.000
0.000 0.000 10.168
Dy Tm Rh
1 2 3
direct
0.000 0.000 0.000
0.000 0.000 0.335
0.000 0.000 0.665
0.500 0.500 0.170
0.500 0.500 0.500
0.500 0.500 0.830
```

Fermi-level density of states = 3.27 states/eV/f.u.
Final energy = -6.8703 eV per atom
Calculated formation energy = -0.9370 eV/atom

No. 7
Entry from the Alexandria database: crystalline Dy2TmRh at its relaxed geometry (GGA-PBE).

Geometry as POSCAR:
```
Dy2TmRh
1.0
1.859 1.073 9.395
-1.859 1.073 9.395
0.000 -2.147 9.395
Dy Tm Rh
2 1 1
direct
0.228 0.228 0.228
0.772 0.772 0.772
0.000 0.000 0.000
0.500 0.500 0.500
```

Fermi-level density of states = 5.21 states/eV/f.u.
Final energy = -5.5594 eV per atom
Calculated formation energy = -0.3026 eV/atom

No. 8
Entry from the Alexandria database: crystalline Dy2TmZn2Rh5 at its relaxed geometry (GGA-PBE).

Geometry as POSCAR:
```
Dy2TmZn2Rh5
1.0
9.826 0.000 0.000
0.000 9.826 0.000
0.000 0.000 3.671
Dy Tm Zn Rh
4 2 4 10
direct
0.172 0.328 0.000
0.328 0.828 0.000
0.672 0.172 0.000
0.828 0.672 0.000
0.000 0.000 0.000
0.500 0.500 0.000
0.123 0.623 0.000
0.377 0.123 0.000
0.623 0.877 0.000
0.877 0.377 0.000
0.000 0.500 0.500
0.072 0.792 0.500
0.208 0.072 0.500
0.292 0.572 0.500
0.428 0.292 0.500
0.500 0.000 0.500
0.572 0.708 0.500
0.708 0.428 0.500
0.792 0.928 0.500
0.928 0.208 0.500
```

Fermi-level density of states = 4.08 states/eV/f.u.
Final energy = -5.9991 eV per atom
Calculated formation energy = -0.7010 eV/atom